Record 1
Compound: LiTa2Nb
Source: the Open Quantum Materials Database
Functional: PBE
Structure: relaxed

Summary:
**Uncorrected energy**: -0.6323 Ry/atom

Lattice parameters (Å, degrees): 4.592 4.592 4.592 60.00 60.00 60.00
Sites, in units of the cell vectors:
Li: 0.500 0.500 0.500
Nb: 0.250 0.250 0.250
Ta: 0.000 0.000 0.000
Ta: 0.750 0.750 0.750

Record 2
Compound: Li2TaNbTe4
Source: the Open Quantum Materials Database
Functional: PBE
Structure: relaxed

Summary:
**Uncorrected energy**: -0.3965 Ry/atom

Lattice parameters (Å, degrees): 3.770 3.770 14.713 90.00 90.00 120.00
Sites, in units of the cell vectors:
Li: 0.000 0.000 0.250
Li: 0.000 0.000 0.750
Nb: 0.000 0.000 0.000
Ta: 0.000 0.000 0.500
Te: 0.333 0.667 0.122
Te: 0.667 0.333 0.379
Te: 0.667 0.333 0.621
Te: 0.333 0.667 0.878

Record 3
Compound: Li2NbTc
Source: the Open Quantum Materials Database
Functional: PBE
Structure: relaxed

Summary:
**Uncorrected energy**: -0.4218 Ry/atom

Lattice parameters (Å, degrees): 4.383 4.383 4.383 60.00 60.00 60.00
Sites, in units of the cell vectors:
Li: 0.250 0.250 0.250
Li: 0.500 0.500 0.500
Nb: 0.750 0.750 0.750
Tc: 0.000 0.000 0.000

Record 4
Compound: LiNb3Te5
Source: the Open Quantum Materials Database
Functional: PBE
Structure: relaxed

Summary:
**Uncorrected energy**: -0.4117 Ry/atom

Lattice parameters (Å, degrees): 5.956 5.956 8.386 90.00 90.00 120.00
Sites, in units of the cell vectors:
Li: 0.000 0.000 0.000
Nb: 0.500 0.000 0.500
Nb: 0.000 0.500 0.500
Nb: 0.500 0.500 0.500
Te: 0.667 0.333 0.228
Te: 0.333 0.667 0.228
Te: 0.000 0.000 0.500
Te: 0.667 0.333 0.772
Te: 0.333 0.667 0.772

Record 5
Compound: LiThNb
Source: the Open Quantum Materials Database
Functional: PBE
Structure: relaxed

Summary:
**Offset from the most stable computed form**: 267.5 meV per atom

Lattice parameters (Å, degrees): 4.739 4.739 4.739 60.00 60.00 60.00
Sites, in units of the cell vectors:
Li: 0.500 0.500 0.500
Nb: 0.000 0.000 0.000
Th: 0.250 0.250 0.250

Record 6
Compound: LiThNb
Source: the Open Quantum Materials Database
Functional: PBE
Structure: relaxed

Summary:
**Offset from the most stable computed form**: 0.0 meV per atom

Lattice parameters (Å, degrees): 4.658 4.658 4.658 60.00 60.00 60.00
Sites, in units of the cell vectors:
Li: 0.250 0.250 0.250
Nb: 0.000 0.000 0.000
Th: 0.750 0.750 0.750

Record 7
Compound: LiNbTl
Source: the Open Quantum Materials Database
Functional: PBE
Structure: relaxed

Summary:
**Offset from the most stable computed form**: 0.0 meV per atom

Lattice parameters (Å, degrees): 4.320 4.320 4.320 60.00 60.00 60.00
Sites, in units of the cell vectors:
Li: 0.000 0.000 0.000
Nb: 0.250 0.250 0.250
Tl: 0.750 0.750 0.750

Record 8
Compound: Li2NbTl
Source: the Open Quantum Materials Database
Functional: PBE
Structure: relaxed

Summary:
**Uncorrected energy**: -0.2723 Ry/atom

Lattice parameters (Å, degrees): 4.683 4.683 4.683 60.00 60.00 60.00
Sites, in units of the cell vectors:
Li: 0.000 0.000 0.000
Li: 0.750 0.750 0.750
Nb: 0.250 0.250 0.250
Tl: 0.500 0.500 0.500

Record 9
Compound: LiNbTl
Source: the Open Quantum Materials Database
Functional: PBE
Structure: relaxed

Summary:
**Offset from the most stable computed form**: 251.2 meV per atom

Lattice parameters (Å, degrees): 4.620 4.620 4.620 60.00 60.00 60.00
Sites, in units of the cell vectors:
Li: 0.250 0.250 0.250
Nb: 0.000 0.000 0.000
Tl: 0.750 0.750 0.750

Record 10
Compound: LiNbTl2
Source: the Open Quantum Materials Database
Functional: PBE
Structure: relaxed

Summary:
**Uncorrected energy**: -0.2621 Ry/atom

Lattice parameters (Å, degrees): 5.008 5.008 5.008 60.00 60.00 60.00
Sites, in units of the cell vectors:
Li: 0.000 0.000 0.000
Nb: 0.250 0.250 0.250
Tl: 0.500 0.500 0.500
Tl: 0.750 0.750 0.750

Record 11
Compound: LiUNb
Source: the Open Quantum Materials Database
Functional: PBE
Structure: relaxed

Summary:
**Offset from the most stable computed form**: 361.3 meV per atom

Lattice parameters (Å, degrees): 4.403 4.403 4.403 60.00 60.00 60.00
Sites, in units of the cell vectors:
Li: 0.250 0.250 0.250
Nb: 0.750 0.750 0.750
U: 0.000 0.000 0.000

Record 12
Compound: LiUNb
Source: the Open Quantum Materials Database
Functional: PBE
Structure: relaxed

Summary:
**Offset from the most stable computed form**: 0.0 meV per atom

Lattice parameters (Å, degrees): 4.354 4.354 4.354 60.00 60.00 60.00
Sites, in units of the cell vectors:
Li: 0.250 0.250 0.250
Nb: 0.000 0.000 0.000
U: 0.750 0.750 0.750